(1)
Here is crystalline Cs2VBI6 at its relaxed geometry from Alexandria. Energies are from PBE-GGA.

Properties
- Formation energy from raw total energies: -0.431 eV per atom
- Energy: -31.1 eV/cell
- N(E_F): 0.991 states/eV/atom
- Magnetic moment: 2.00 μB/f.u.

```
Cs2VBI6
1.0
0.0000 5.7371 5.7371
5.7371 0.0000 5.7371
5.7371 5.7371 0.0000
Cs V B I
2 1 1 6
Direct
0.2500 0.2500 0.2500
0.7500 0.7500 0.7500
0.0000 0.0000 0.0000
0.5000 0.5000 0.5000
0.2454 0.2454 0.7546
0.2454 0.7546 0.2454
0.2454 0.7546 0.7546
0.7546 0.2454 0.2454
0.7546 0.2454 0.7546
0.7546 0.7546 0.2454
```

(2)
Here is crystalline CsZr6BI14 at its relaxed geometry from Alexandria. Energies are from PBE-GGA.

Properties
- Formation energy from raw total energies: -1.037 eV per atom
- Energy: -206.7 eV/cell
- Magnetic moment: 0.00 μB/f.u.

```
CsZr6BI14
1.0
8.0877 -7.6027 0.0000
8.0877 7.6027 0.0000
0.0000 0.0000 13.2179
Cs Zr B I
2 12 2 28
Direct
0.0000 0.0000 0.0000
0.5000 0.5000 0.5000
0.0451 0.1662 0.6089
0.1291 0.8709 0.5951
0.1662 0.0451 0.3911
0.3338 0.4549 0.8911
0.3709 0.6291 0.0951
0.4549 0.3338 0.1089
0.5451 0.6662 0.8911
0.6291 0.3709 0.9049
0.6662 0.5451 0.1089
0.8338 0.9549 0.6089
0.8709 0.1291 0.4049
0.9549 0.8338 0.3911
0.0000 0.0000 0.5000
0.5000 0.5000 0.0000
0.0346 0.2121 0.2533
0.1066 0.6445 0.4910
0.1078 0.3922 0.7500
0.1445 0.6066 0.9910
0.1497 0.8503 0.2414
0.2121 0.0346 0.7467
0.2492 0.2492 0.5000
0.2508 0.2508 0.0000
0.2879 0.4654 0.2467
0.3503 0.6497 0.7414
0.3555 0.8934 0.4910
0.3922 0.1078 0.2500
0.3934 0.8555 0.9910
0.4654 0.2879 0.7533
0.5346 0.7121 0.2467
0.6066 0.1445 0.0090
0.6078 0.8922 0.7500
0.6445 0.1066 0.5090
0.6497 0.3503 0.2586
0.7121 0.5346 0.7533
0.7492 0.7492 0.0000
0.7508 0.7508 0.5000
0.7879 0.9654 0.2533
0.8503 0.1497 0.7586
0.8555 0.3934 0.0090
0.8922 0.6078 0.2500
0.8934 0.3555 0.5090
0.9654 0.7879 0.7467
```

(3)
Here is crystalline CsIn3B at its relaxed geometry from Alexandria. Energies are from PBE-GGA.

Properties
- Energy: -5.7 eV/cell
- Formation energy from the elements: 46.128 kcal/mol of atoms
- N(E_F): 1.174 states/eV/atom
- Magnetic moment: 1.77 μB/f.u.

```
CsIn3B
1.0
6.6360 0.0000 0.0000
0.0000 6.6360 0.0000
0.0000 0.0000 6.6360
Cs In B
1 3 1
Direct
0.0000 0.0000 0.0000
0.0000 0.0000 0.5000
0.0000 0.5000 0.0000
0.5000 0.0000 0.0000
0.5000 0.5000 0.5000
```

(4)
Here is crystalline CsIn3B at its relaxed geometry from Alexandria. Energies are from PBE-GGA.

Properties
- Energy: -12.7 eV/cell
- Formation energy from the elements: 14.058 kcal/mol of atoms
- N(E_F): 0.925 states/eV/atom
- Magnetic moment: 0.00 μB/f.u.

```
CsIn3B
1.0
5.2853 0.0000 0.0000
0.0000 5.2853 0.0000
0.0000 0.0000 5.2853
Cs In B
1 3 1
Direct
0.0000 0.0000 0.0000
0.0000 0.5000 0.5000
0.5000 0.0000 0.5000
0.5000 0.5000 0.0000
0.5000 0.5000 0.5000
```

> The lowest energy belongs to which entry?

CsZr6BI14